1.
Here is Sc2Nb2Os after structural relaxation from Alexandria. Energies are from PBE-GGA.

Results
Its size of the total moment is 0.00 μB/f.u. Its symmetry is P4/mbm, No. 127. The calculated total energy comes out at -8.741 eV/atom.

Cell: 6.5508 6.5508 4.7819 Å, 90.00 90.00 90.00°
Closest atoms and distances in Å follow each position.
Sites, in units of the cell vectors:
Nb1 0.8566 0.6434 0.0000  2 Os 2.52, 1 Nb 2.66
Nb2 0.3566 0.8566 0.0000  2 Os 2.52, 1 Nb 2.66
Nb3 0.6434 0.1434 0.0000  2 Os 2.52, 1 Nb 2.66
Sc1 0.3313 0.1687 0.5000  6 Nb 2.96-3.15, 1 Sc 3.13
Os1 0.0000 0.0000 0.0000  4 Nb 2.52
Sc2 0.1687 0.6687 0.5000  6 Nb 2.96-3.15, 1 Sc 3.13
Sc3 0.8313 0.3313 0.5000  6 Nb 2.96-3.15, 1 Sc 3.13
Nb4 0.1434 0.3566 0.0000  2 Os 2.52, 1 Nb 2.66
Os2 0.5000 0.5000 0.0000  4 Nb 2.52
Sc4 0.6687 0.8313 0.5000  6 Nb 2.96-3.15, 1 Sc 3.13

---

2.
Here is Sc2NbOs2 after structural relaxation from Alexandria. Energies are from PBE-GGA.

Results
Its size of the total moment is 0.00 μB/f.u. Its symmetry is Cmmm, No. 65. The calculated total energy comes out at -9.348 eV/atom. The value obtained for the energy above the lowest structure with this stoichiometry is 0.0 kJ per mole of atoms.

Cell: 3.1229 3.1446 9.9468 Å, 80.91 90.00 90.00°
Closest atoms and distances in Å follow each position.
Sites, in units of the cell vectors:
Os1 0.5000 0.4177 0.1646  4 Nb 2.74, 4 Sc 2.77
Sc1 0.0000 0.1670 0.6659  4 Os 2.77
Os2 0.5000 0.5823 0.8354  4 Nb 2.74, 4 Sc 2.77
Nb1 0.0000 0.0000 0.0000  8 Os 2.74
Sc2 0.0000 0.8330 0.3341  4 Os 2.77

---

3.
Here is ScNb3Os after structural relaxation from Alexandria. Energies are from PBE-GGA.

Results
Its size of the total moment is 0.00 μB/f.u. Its symmetry is Pm-3m, No. 221. The calculated total energy comes out at -8.750 eV/atom. The value obtained for the energy above the lowest structure with this stoichiometry is 0.0 kJ per mole of atoms.

Cell: 4.8906 4.8906 4.8906 Å, 90.00 90.00 90.00°
Closest atoms and distances in Å follow each position.
Sites, in units of the cell vectors:
Nb1 0.5000 0.0000 0.0000  2 Os 2.45
Sc1 0.5000 0.5000 0.5000  12 Nb 3.46
Nb2 0.0000 0.5000 0.0000  2 Os 2.45
Nb3 0.0000 0.0000 0.5000  2 Os 2.45
Os1 0.0000 0.0000 0.0000  6 Nb 2.45

---

4.
Here is ScNb3Os after structural relaxation from Alexandria. Energies are from PBE-GGA.

Results
Its size of the total moment is 0.00 μB/f.u. Its symmetry is Pm-3m, No. 221. The calculated total energy comes out at -7.627 eV/atom. The value obtained for the energy above the lowest structure with this stoichiometry is 108.3 kJ per mole of atoms.

Cell: 4.6203 4.6203 4.6203 Å, 90.00 90.00 90.00°
Closest atoms and distances in Å follow each position.
Sites, in units of the cell vectors:
Nb1 0.0000 0.5000 0.0000  2 Sc 2.31
Nb2 0.0000 0.0000 0.5000  2 Sc 2.31
Os1 0.5000 0.5000 0.5000  12 Nb 3.27
Sc1 0.0000 0.0000 0.0000  6 Nb 2.31
Nb3 0.5000 0.0000 0.0000  2 Sc 2.31

---

5.
Here is Sc3NbOs4 after structural relaxation from Alexandria. Energies are from PBE-GGA.

Results
Its size of the total moment is 0.00 μB/f.u. Its symmetry is Pmmm, No. 47. The calculated total energy comes out at -9.649 eV/atom.

Cell: 3.2033 4.5462 9.0706 Å, 90.00 90.00 90.00°
Closest atoms and distances in Å follow each position.
Sites, in units of the cell vectors:
Sc1 0.5000 0.0000 0.7465  8 Os 2.75-2.80
Sc2 0.5000 0.5000 0.5000  8 Os 2.78-2.86
Os1 0.0000 0.5000 0.7608  2 Nb 2.70, 6 Sc 2.78-2.86
Os2 0.0000 0.5000 0.2392  2 Nb 2.70, 6 Sc 2.78-2.86
Sc3 0.5000 0.0000 0.2535  8 Os 2.75-2.80
Nb1 0.5000 0.5000 0.0000  8 Os 2.70-2.78
Os3 0.0000 0.0000 0.0000  4 Nb 2.78, 4 Sc 2.80
Os4 0.0000 0.0000 0.5000  8 Sc 2.75-2.78

---

6.
Here is ScNbOs4 after structural relaxation from Alexandria. Energies are from PBE-GGA.

Results
Its size of the total moment is 0.00 μB/f.u. Its symmetry is F-43m, No. 216. The calculated total energy comes out at -10.369 eV/atom.

Cell: 5.1904 5.1904 5.1904 Å, 60.00 60.00 60.00°
Closest atoms and distances in Å follow each position.
Sites, in units of the cell vectors:
Os1 0.6255 0.6255 0.1236  6 Os 2.59-2.61
Nb1 0.2500 0.2500 0.2500  12 Os 3.04, 4 Sc 3.18
Os2 0.1236 0.6255 0.6255  6 Os 2.59-2.61
Sc1 0.0000 0.0000 0.0000  12 Os 3.04, 4 Nb 3.18
Os3 0.6255 0.1236 0.6255  6 Os 2.59-2.61
Os4 0.6255 0.6255 0.6255  6 Os 2.59-2.61

---

7.
Here is ScNbOs after structural relaxation from Alexandria. Energies are from PBE-GGA.

Results
Its size of the total moment is 0.00 μB/f.u. Its symmetry is I4mm, No. 107. The calculated total energy comes out at -9.466 eV/atom. The value obtained for the energy above the lowest structure with this stoichiometry is 1.2 kJ per mole of atoms.

Cell: 3.2054 3.2054 5.6392 Å, 106.51 106.51 90.00°
Closest atoms and distances in Å follow each position.
Sites, in units of the cell vectors:
Sc1 0.6091 0.6091 0.2183  4 Os 2.86, 5 Nb 3.00-3.19
Nb1 0.2999 0.2999 0.5999  4 Os 2.69, 4 Sc 3.00
Os1 0.9409 0.9409 0.8819  4 Nb 2.69, 4 Sc 2.86

---

8.
Here is ScNbOs after structural relaxation from Alexandria. Energies are from PBE-GGA.

Results
Its size of the total moment is 0.00 μB/f.u. Its symmetry is Amm2, No. 38. The calculated total energy comes out at -9.479 eV/atom. The value obtained for the energy above the lowest structure with this stoichiometry is 0.0 kJ per mole of atoms.

Cell: 5.4100 5.4100 8.7221 Å, 90.00 90.00 119.26°
Closest atoms and distances in Å follow each position.
Sites, in units of the cell vectors:
Os1 0.6529 0.8266 0.0000  4 Os 2.58-2.85, 2 Nb 2.62
Sc1 0.6655 0.3345 0.1734  4 Sc 3.02-3.33, 7 Os 3.09-3.25, 5 Nb 3.13-3.23
Os2 0.1752 0.8248 0.0000  4 Os 2.58-2.83, 2 Nb 2.66
Os3 0.1734 0.3471 0.0000  4 Os 2.58-2.85, 2 Nb 2.62
Sc2 0.3320 0.6680 0.7004  5 Os 3.00-3.25, 7 Nb 3.18-3.26, 3 Sc 3.30-3.33
Nb1 0.9952 0.0048 0.7643  4 Os 2.62-2.76, 2 Nb 2.84
Nb2 0.3452 0.1656 0.5000  2 Os 2.64-2.77, 4 Nb 2.68-2.84
Os4 0.8335 0.1665 0.5000  6 Nb 2.64-2.77
Sc3 0.6655 0.3345 0.8266  4 Sc 3.02-3.33, 7 Os 3.09-3.25, 5 Nb 3.13-3.23
Nb3 0.9952 0.0048 0.2357  4 Os 2.62-2.76, 2 Nb 2.84
Sc4 0.3320 0.6680 0.2996  5 Os 3.00-3.25, 7 Nb 3.18-3.26, 3 Sc 3.30-3.33
Nb4 0.8344 0.6548 0.5000  2 Os 2.64-2.77, 4 Nb 2.68-2.84

---

9.
Here is ScNb2Os after structural relaxation from Alexandria. Energies are from PBE-GGA.

Results
Its size of the total moment is 0.00 μB/f.u. Its symmetry is I-42d, No. 122. The calculated total energy comes out at -9.138 eV/atom. The value obtained for the energy above the lowest structure with this stoichiometry is 36.2 kJ per mole of atoms.

Cell: 7.6123 7.6123 6.0447 Å, 50.97 50.97 90.00°
Closest atoms and distances in Å follow each position.
Sites, in units of the cell vectors:
Os1 0.0000 0.0000 0.0000  4 Nb 2.55, 2 Sc 2.75
Sc1 0.5000 0.5000 0.0000  2 Os 2.75, 4 Nb 3.03
Sc2 0.2500 0.7500 0.5000  2 Os 2.75, 4 Nb 3.03
Nb1 0.0782 0.6250 0.2500  2 Os 2.55, 2 Nb 2.84
Nb2 0.8750 0.9218 0.7500  2 Os 2.55, 2 Nb 2.84
Os2 0.7500 0.2500 0.5000  4 Nb 2.55, 2 Sc 2.75
Nb3 0.3750 0.3282 0.7500  2 Os 2.55, 2 Nb 2.84
Nb4 0.6718 0.1250 0.2500  2 Os 2.55, 2 Nb 2.84

---

10.
Here is ScNb2Os after structural relaxation from Alexandria. Energies are from PBE-GGA.

Results
Its size of the total moment is 0.00 μB/f.u. Its symmetry is Fm-3m, No. 225. The calculated total energy comes out at -9.513 eV/atom. The value obtained for the energy above the lowest structure with this stoichiometry is 0.0 kJ per mole of atoms.

Cell: 4.6059 4.6059 4.6059 Å, 60.00 60.00 60.00°
Closest atoms and distances in Å follow each position.
Sites, in units of the cell vectors:
Nb1 0.7500 0.7500 0.7500  4 Os 2.82, 4 Sc 2.82
Os1 0.5000 0.5000 0.5000  8 Nb 2.82
Sc1 0.0000 0.0000 0.0000  8 Nb 2.82
Nb2 0.2500 0.2500 0.2500  4 Os 2.82, 4 Sc 2.82

---

11.
Here is Sc2NbOs2 after structural relaxation from Alexandria. Energies are from PBE-GGA.

Results
Its size of the total moment is 0.00 μB/f.u. Its symmetry is P4/mbm, No. 127. The calculated total energy comes out at -9.239 eV/atom. The value obtained for the energy above the lowest structure with this stoichiometry is 10.5 kJ per mole of atoms.

Cell: 6.6787 6.6787 4.3087 Å, 90.00 90.00 90.00°
Closest atoms and distances in Å follow each position.
Sites, in units of the cell vectors:
Os1 0.6293 0.1293 0.0000  1 Os 2.44, 2 Nb 2.62
Os2 0.8707 0.6293 0.0000  1 Os 2.44, 2 Nb 2.62
Sc1 0.1775 0.6775 0.5000  6 Os 2.82-2.99
Sc2 0.6775 0.8225 0.5000  6 Os 2.82-2.99
Nb1 0.5000 0.5000 0.0000  4 Os 2.62
Sc3 0.3225 0.1775 0.5000  6 Os 2.82-2.99
Sc4 0.8225 0.3225 0.5000  6 Os 2.82-2.99
Os3 0.1293 0.3707 0.0000  1 Os 2.44, 2 Nb 2.62
Os4 0.3707 0.8707 0.0000  1 Os 2.44, 2 Nb 2.62
Nb2 0.0000 0.0000 0.0000  4 Os 2.62

---

12.
Here is ScNbOs2Se after structural relaxation from Alexandria. Energies are from PBE-GGA.

Results
Its size of the total moment is 0.12 μB/f.u. Its symmetry is P4/mmm, No. 123. The calculated total energy comes out at -7.480 eV/atom.

Cell: 4.5314 4.7166 4.5314 Å, 90.00 90.00 90.00°
Closest atoms and distances in Å follow each position.
Sites, in units of the cell vectors:
Os1 0.0000 0.0000 0.5000  2 Se 2.27
Nb1 0.5000 0.5000 0.5000  4 Sc 3.20, 8 Os 3.27
Os2 0.5000 0.0000 0.0000  2 Se 2.27
Se1 0.0000 0.0000 0.0000  4 Os 2.27, 2 Sc 2.36
Sc1 0.0000 0.5000 0.0000  2 Se 2.36